Record 1
# Li2CdIr

A geometry-optimized Li2CdIr structure (PBE, the Alexandria database).

- Fermi-level density of states (states/eV/f.u.) = 2.282
- E_tot (eV per atom) = -3.406
- energy of formation (eV per atom) = -0.0053

abc: 3.1562 3.1562 6.2486
angles: 90.00 90.00 90.00
Atoms (fractional coordinates):
Li: 0.5000 0.5000 0.2190
Li: 0.0000 0.0000 0.9836
Cd: 0.0000 0.0000 0.5108
Ir: 0.5000 0.5000 0.7865


Record 2
# LaCeEu

A geometry-optimized LaCeEu structure (PBE, the Alexandria database).

- excess energy over the best structure of this formula in the dataset (eV per formula unit) = 0.00
- Fermi-level density of states (states/eV/f.u.) = 5.421
- E_tot (eV per atom) = -6.938
- energy of formation (eV per atom) = 0.1071

abc: 3.6560 3.6560 8.3380
angles: 102.66 102.66 90.00
Last column: magnetic moment on the atom in μB.
Atoms (fractional coordinates):
Ce: 0.3283 0.3283 0.6566  0.76
La: 0.6779 0.6779 0.3558  -0.06
Eu: 0.9938 0.9938 0.9875  7.02


Record 3
# CsBe2BiCl8

A geometry-optimized CsBe2BiCl8 structure (PBE, the Alexandria database).

- Fermi-level density of states (states/eV/f.u.) = 0.000
- E_tot (eV per atom) = -3.629
- formation energy from raw total energies (eV/f.u.) = -16.59

abc: 6.2841 6.2841 11.0002
angles: 73.40 73.40 60.00
Atoms (fractional coordinates):
Cl: 0.8044 0.8044 0.5867
Cl: 0.4133 0.7109 0.8420
Cl: 0.1956 0.1956 0.4133
Cl: 0.2891 0.9662 0.1580
Cl: 0.5867 0.2891 0.1580
Cl: 0.7109 0.0338 0.8420
Cl: 0.9662 0.5867 0.1580
Cl: 0.0338 0.4133 0.8420
Bi: 0.0000 0.0000 0.0000
Cs: 0.5000 0.5000 0.5000
Be: 0.2583 0.2583 0.2252
Be: 0.7417 0.7417 0.7748


Record 4
# CaRe2Cl

A geometry-optimized CaRe2Cl structure (PBE, the Alexandria database).

- excess energy over the best structure of this formula in the dataset (eV per formula unit) = 4.91
- Fermi-level density of states (states/eV/f.u.) = 3.912
- E_tot (eV per atom) = -6.093
- formation energy from raw total energies (eV/f.u.) = 4.37

abc: 2.8541 2.8541 9.6119
angles: 90.00 90.00 116.81
Atoms (fractional coordinates):
Cl: 0.5000 0.5000 0.7500
Re: 0.0000 0.0000 0.5189
Re: 0.0000 0.0000 0.9811
Ca: 0.5000 0.5000 0.2500


Record 5
# DyYU

A geometry-optimized DyYU structure (PBE, the Alexandria database).

- Fermi-level density of states (states/eV/f.u.) = 6.005
- E_tot (eV per atom) = -7.224
- energy of formation (eV per atom) = 0.2276

abc: 3.6367 5.7323 8.6943
angles: 98.64 102.07 90.00
Last column: magnetic moment on the atom in μB.
Atoms (fractional coordinates):
U: 0.2403 0.8455 0.4806  1.25
U: 0.7597 0.1545 0.5194  1.25
Y: 0.5692 0.7921 0.1385  0.01
Y: 0.4308 0.2079 0.8615  0.01
Dy: 0.1151 0.3108 0.2303  0.06
Dy: 0.8849 0.6892 0.7697  0.06


Record 6
# Y3Er2S8

A geometry-optimized Y3Er2S8 structure (PBE, the Alexandria database).

- Fermi-level density of states (states/eV/f.u.) = 7.177
- E_tot (eV per atom) = -6.606
- formation energy from raw total energies (eV/f.u.) = -24.34

abc: 6.6789 7.8851 7.8717
angles: 120.06 107.36 90.00
Atoms (fractional coordinates):
Er: 0.3422 0.2616 0.5232
Er: 0.6578 0.7384 0.4768
S: 0.0693 0.8817 0.7633
S: 0.5849 0.6395 0.7489
S: 0.0972 0.3813 0.7626
S: 0.9307 0.1183 0.2367
S: 0.5849 0.1094 0.7489
S: 0.4151 0.8906 0.2511
S: 0.4151 0.3605 0.2511
S: 0.9028 0.6187 0.2374
Y: 0.0000 0.7372 0.0000
Y: 0.5000 0.0000 0.0000
Y: 0.0000 0.2628 0.0000


Record 7
# Pu6AgSn2

A geometry-optimized Pu6AgSn2 structure (PBE, the Alexandria database).

- Fermi-level density of states (states/eV/f.u.) = 19.623
- E_tot (eV per atom) = -10.423
- energy of formation (eV per atom) = 0.3382

abc: 4.1361 7.3408 7.3408
angles: 120.00 90.00 90.00
Last column: magnetic moment on the atom in μB.
Atoms (fractional coordinates):
Pu: 0.5000 0.6670 0.6670  2.23
Pu: 0.5000 0.0000 0.3330  2.23
Pu: 0.5000 0.3330 0.3330  2.23
Pu: 0.5000 0.6670 0.0000  2.23
Pu: 0.5000 0.0000 0.6670  2.23
Pu: 0.5000 0.3330 0.0000  2.23
Sn: 0.0000 0.6667 0.3333  -0.07
Sn: 0.0000 0.3333 0.6667  -0.07
Ag: 0.0000 0.0000 0.0000  0.01


Record 8
# Ba5SiBr5

A geometry-optimized Ba5SiBr5 structure (PBE, the Alexandria database).

- Fermi-level density of states (states/eV/f.u.) = 4.169
- E_tot (eV per atom) = -3.727
- formation energy from raw total energies (eV/f.u.) = -17.60

abc: 6.6852 8.3331 9.5593
angles: 106.88 90.00 113.65
Atoms (fractional coordinates):
Br: 0.6770 0.3540 0.3349
Br: 0.6729 0.3458 0.8378
Br: 0.3271 0.6542 0.1622
Br: 0.0000 0.0000 0.5000
Br: 0.3230 0.6460 0.6651
Ba: 0.5000 0.0000 0.0000
Ba: 0.8469 0.6939 0.1626
Ba: 0.1531 0.3061 0.8374
Ba: 0.8453 0.6906 0.6839
Ba: 0.1547 0.3094 0.3161
Si: 0.0000 0.0000 0.0000